CsLiAsSe2 | Alexandria | PBE | optimized geometry; raw formation energy = 855.9 meV per atom; energy = -10.1 eV per cell; symmetry = P4/mmm, No. 123; polymorph energy (0 for the lowest one) = 1436 meV/atom; Fermi-level density of states = 5.229 states/eV/f.u.
1.0
6.210 0.000 0.000
0.000 6.210 0.000
0.000 0.000 6.093
Cs As Se Li
1 1 2 1
Direct
0.000 0.000 0.000 Cs
0.000 0.000 0.500 As
0.000 0.500 0.000 Se
0.500 0.000 0.000 Se
0.500 0.500 0.500 Li



Dy2Al4SiAu3 | Alexandria | PBE | optimized geometry; raw formation energy = -626.4 meV per atom; energy = -45.7 eV per cell; symmetry = P-4m2, No. 115; Fermi-level density of states = 3.756 states/eV/f.u.
1.0
4.229 0.000 0.000
0.000 4.229 0.000
0.000 0.000 10.842
Dy Al Si Au
2 4 1 3
Direct
0.500 0.000 0.256 Dy
0.000 0.500 0.744 Dy
0.500 0.500 0.000 Al
0.000 0.000 0.000 Al
0.500 0.000 0.636 Al
0.000 0.500 0.364 Al
0.500 0.500 0.500 Si
0.000 0.000 0.500 Au
0.500 0.000 0.862 Au
0.000 0.500 0.138 Au



CeCuGe2Rh5 | Alexandria | PBE | optimized geometry; energy = -58.1 eV per cell; DFT formation energy = -0.24 eV/atom; symmetry = P4/mmm, No. 123; Fermi-level density of states = 1.753 states/eV/f.u.
1.0
4.550 0.000 0.000
0.000 4.550 0.000
0.000 0.000 7.421
Ce Cu Ge Rh
1 1 2 5
Direct
0.000 0.000 0.500 Ce
0.000 0.000 0.000 Cu
0.500 0.500 0.163 Ge
0.500 0.500 0.837 Ge
0.000 0.500 0.242 Rh
0.500 0.000 0.242 Rh
0.000 0.500 0.758 Rh
0.500 0.000 0.758 Rh
0.500 0.500 0.500 Rh



Al2CoPb | Alexandria | PBE | optimized geometry; energy = -16.7 eV per cell; DFT formation energy = 0.39 eV/atom; symmetry = Cmmm, No. 65; Fermi-level density of states = 2.489 states/eV/f.u.
1.0
4.832 -0.021 0.000
-1.918 4.436 0.000
0.000 0.000 3.341
Pb Co Al
1 1 2
Direct
0.000 0.500 0.500 Pb
0.500 0.000 0.500 Co
0.000 0.000 0.000 Al
0.500 0.500 0.000 Al



CaNd2Ni | Alexandria | PBE | optimized geometry; energy = -17.6 eV per cell; DFT formation energy = -0.07 eV/atom; symmetry = R3m, No. 160; polymorph energy (0 for the lowest one) = 60 meV/atom; Fermi-level density of states = 5.142 states/eV/f.u.
1.0
-2.897 2.697 -0.642
-2.727 0.729 2.848
3.734 8.027 4.343
Ca Nd Ni
1 2 1
Direct
0.501 0.501 0.496 Ca
0.054 0.054 0.839 Nd
0.279 0.279 0.162 Nd
0.666 0.666 0.002 Ni



Ba3PtBr2 | Alexandria | PBE | optimized geometry; raw formation energy = -1394.0 meV per atom; energy = -94.1 eV per cell; symmetry = Fddd, No. 70; Fermi-level density of states = 4.890 states/eV/f.u.
1.0
-1.444 -7.683 3.039
4.855 -0.779 -6.794
9.723 5.266 9.926
Ba Pt Br
12 4 8
Direct
0.159 0.690 0.820 Ba
0.661 0.130 0.820 Ba
0.091 0.060 0.680 Ba
0.589 0.620 0.680 Ba
0.036 0.536 0.500 Ba
0.464 0.964 0.500 Ba
0.380 0.411 0.320 Ba
0.940 0.909 0.320 Ba
0.870 0.339 0.180 Ba
0.310 0.841 0.180 Ba
0.214 0.214 0.000 Ba
0.786 0.786 0.000 Ba
0.916 0.916 0.832 Pt
0.334 0.834 0.668 Pt
0.166 0.666 0.332 Pt
0.084 0.084 0.168 Pt
0.996 0.496 0.992 Br
0.422 0.422 0.844 Br
0.828 0.328 0.656 Br
0.254 0.254 0.508 Br
0.746 0.746 0.492 Br
0.672 0.172 0.344 Br
0.578 0.578 0.156 Br
0.504 0.004 0.008 Br